[1]
Here is a relaxed structure of VGaIN2 from the Alexandria database. Energies are from PBE.

```
VGaIN2
1.0
3.8547 0.0000 0.0000
0.0000 3.8547 0.0000
0.0000 0.0000 5.8153
V Ga I N
1 1 1 2
direct
0.0000 0.0000 0.0000 V
0.5000 0.5000 0.5000 Ga
0.5000 0.5000 0.0000 I
0.0000 0.5000 0.5000 N
0.5000 0.0000 0.5000 N
```

Computed properties:
V = 86.4 Å³ per cell
Fermi-level density of states = 7.6 states/eV per cell
energy relative to the elements, uncorrected = 7.93 eV/f.u.
polymorph energy (0 for the lowest one) = 1058.2 meV per atom
crystal system = tetragonal

=====

[2]
Here is a relaxed structure of YGaIN2 from the Alexandria database. Energies are from PBE.

```
YGaIN2
1.0
4.5587 0.0000 0.0000
0.0000 4.5587 0.0000
0.0000 0.0000 6.3633
Y Ga I N
1 1 1 2
direct
0.0000 0.0000 0.0000 Y
0.5000 0.5000 0.5000 Ga
0.0000 0.0000 0.5000 I
0.0000 0.5000 0.0000 N
0.5000 0.0000 0.0000 N
```

Computed properties:
V = 132.2 Å³ per cell
Fermi-level density of states = 2.9 states/eV per cell
energy relative to the elements, uncorrected = 2.70 eV/f.u.
polymorph energy (0 for the lowest one) = 0.0 meV per atom
crystal system = tetragonal

=====

[3]
Here is a relaxed structure of YGaIN2 from the Alexandria database. Energies are from PBE.

```
YGaIN2
1.0
4.1418 0.0000 0.0000
0.0000 4.1418 0.0000
0.0000 0.0000 5.3273
Y Ga I N
1 1 1 2
direct
0.0000 0.0000 0.0000 Y
0.5000 0.5000 0.5000 Ga
0.5000 0.5000 0.0000 I
0.0000 0.5000 0.5000 N
0.5000 0.0000 0.5000 N
```

Computed properties:
V = 91.4 Å³ per cell
Fermi-level density of states = 1.8 states/eV per cell
energy relative to the elements, uncorrected = 3.41 eV/f.u.
polymorph energy (0 for the lowest one) = 142.4 meV per atom
crystal system = tetragonal